A crystal of Sr2ZnIn relaxed with PBEsol, computed with meta-GGA SCAN.

Cell and atoms, written as extended XYZ:
```
4
Lattice="3.824 0.000 0.000 0.000 3.824 0.000 0.000 0.000 8.170" Properties=species:S:1:pos:R:3 pbc="T T T"
Sr 0.000 0.000 1.924
Sr 0.000 0.000 6.246
Zn 1.912 1.912 0.000
In 1.912 1.912 4.085
```

Values from the calculation:
ΔH_f (0 K)   -0.387 eV/atom
Space group   No. 123